Record 1
The following is a PBE-GGA calculation of a geometry-optimized SrSnAs structure, from Alexandria via LeMat-Bulk.

The value obtained for the size of the total moment is 0.0 μB/cell. The value obtained for the formation energy from the elements is -546 meV/atom.

It has space group P-62c (No. 190), with a = 8.6095 Å, b = 8.6095 Å, c = 8.8738 Å, α = 90.00°, β = 90.00° and γ = 120.00°. The asymmetric unit holds Sr at (0.0000, 0.2680, 0.0000), Sn at (0.0978, 0.6228, 0.2500), As at (0.0000, 0.0000, 0.2500) and As at (0.3333, 0.6667, 0.5027).



Record 2
The following is a PBE-GGA calculation of a geometry-optimized SrSnAs structure, from Alexandria via LeMat-Bulk.

The value obtained for the size of the total moment is 0.0 μB/cell. The value obtained for the formation energy from the elements is -578 meV/atom.

It has space group P3m1 (No. 156), with a = 4.8746 Å, b = 4.8746 Å, c = 4.3878 Å, α = 90.00°, β = 90.00° and γ = 120.00°. The asymmetric unit holds Sr at (0.0000, 0.0000, 0.0000), Sn at (0.6667, 0.3333, 0.5014) and As at (0.3333, 0.6667, 0.4973).



Record 3
The following is a PBE-GGA calculation of a geometry-optimized Sr2SnAs3 structure, from Alexandria via LeMat-Bulk.

The value obtained for the size of the total moment is 0.0 μB/cell. The value obtained for the formation energy from the elements is -589 meV/atom.

It has space group C2/c (No. 15), with a = 14.087 Å, b = 6.529 Å, c = 7.982 Å, α = 90.00°, β = 105.54° and γ = 90.00°. The asymmetric unit holds Sr at (0.173, 0.012, 0.083), Sn at (0.000, 0.407, 0.250), As at (0.000, 0.001, 0.750) and As at (0.140, 0.488, 0.576).



Record 4
The following is a PBE-GGA calculation of a geometry-optimized Sr2SnAs2 structure, from Alexandria via LeMat-Bulk.

The value obtained for the size of the total moment is 0.0 μB/cell. The value obtained for the formation energy from the elements is -807 meV/atom. Its polymorph energy (0 for the lowest one) is 0.000 eV/atom.

It has space group P4/mbm (No. 127), with a = 7.905 Å, b = 7.905 Å, c = 4.517 Å, α = 90.00°, β = 90.00° and γ = 90.00°. The asymmetric unit holds Sr at (0.178, 0.322, 0.000), Sn at (0.000, 0.000, 0.500) and As at (0.118, 0.618, 0.500).



Record 5
The following is a PBE-GGA calculation of a geometry-optimized SrSnAs3 structure, from Alexandria via LeMat-Bulk.

The value obtained for the size of the total moment is 0.0 μB/cell. The value obtained for the formation energy from the elements is 111 meV/atom. Its polymorph energy (0 for the lowest one) is 0.000 eV/atom.

It has space group Pm-3m (No. 221), with a = 5.310 Å, b = 5.310 Å, c = 5.310 Å, α = 90.00°, β = 90.00° and γ = 90.00°. The asymmetric unit holds Sr at (0.000, 0.000, 0.000), Sn at (0.500, 0.500, 0.500) and As at (0.000, 0.500, 0.500).



Record 6
The following is a PBE-GGA calculation of a geometry-optimized SrTa2SnAs structure, from Alexandria via LeMat-Bulk.

The value obtained for the size of the total moment is 0.7 μB/cell. The value obtained for the formation energy from the elements is 569 meV/atom.

It has space group P4/mmm (No. 123), with a = 4.855 Å, b = 4.855 Å, c = 5.592 Å, α = 90.00°, β = 90.00° and γ = 90.00°. The asymmetric unit holds Sr at (0.000, 0.000, 0.000), Ta at (0.000, 0.500, 0.500), Sn at (0.500, 0.500, 0.000) and As at (0.000, 0.000, 0.500).



Record 7
The following is a PBE-GGA calculation of a geometry-optimized SrTcSnAs2 structure, from Alexandria via LeMat-Bulk.

The value obtained for the size of the total moment is 3.3 μB/cell. The value obtained for the formation energy from the elements is 1529 meV/atom.

It has space group P4/mmm (No. 123), with a = 5.553 Å, b = 5.553 Å, c = 5.319 Å, α = 90.00°, β = 90.00° and γ = 90.00°. The asymmetric unit holds Sr at (0.000, 0.000, 0.000), Tc at (0.000, 0.000, 0.500), Sn at (0.500, 0.500, 0.500) and As at (0.000, 0.500, 0.000).



Record 8
The following is a PBE-GGA calculation of a geometry-optimized SrSnTe2As structure, from Alexandria via LeMat-Bulk.

For the uncorrected formation energy, the calculation gives -243 meV/atom. The value obtained for the size of the total moment is 0.0 μB/cell.

It has space group P4/mmm (No. 123), with a = 5.700 Å, b = 5.700 Å, c = 5.265 Å, α = 90.00°, β = 90.00° and γ = 90.00°. The asymmetric unit holds Sr at (0.000, 0.000, 0.000), Sn at (0.500, 0.500, 0.000), Te at (0.000, 0.500, 0.500) and As at (0.500, 0.500, 0.500).



Record 9
The following is a PBE-GGA calculation of a geometry-optimized SrZrSnAs2 structure, from Alexandria via LeMat-Bulk.

The value obtained for the size of the total moment is 0.0 μB/cell. The value obtained for the formation energy from the elements is 1194 meV/atom.

It has space group P4/mmm (No. 123), with a = 5.459 Å, b = 5.459 Å, c = 5.532 Å, α = 90.00°, β = 90.00° and γ = 90.00°. The asymmetric unit holds Sr at (0.000, 0.000, 0.000), Zr at (0.000, 0.000, 0.500), Sn at (0.500, 0.500, 0.500) and As at (0.000, 0.500, 0.000).



Record 10
The following is a PBE-GGA calculation of a geometry-optimized TaSn2As2 structure, from Alexandria via LeMat-Bulk.

The value obtained for the size of the total moment is 0.0 μB/cell. The value obtained for the formation energy from the elements is 173 meV/atom.

It has space group P4/mbm (No. 127), with a = 6.855 Å, b = 6.855 Å, c = 4.747 Å, α = 90.00°, β = 90.00° and γ = 90.00°. The asymmetric unit holds Ta at (0.000, 0.000, 0.000), Sn at (0.168, 0.332, 0.500) and As at (0.149, 0.649, 0.000).



Record 11
The following is a PBE-GGA calculation of a geometry-optimized Ta3SnAs structure, from Alexandria via LeMat-Bulk.

The value obtained for the size of the total moment is 0.0 μB/cell. The value obtained for the formation energy from the elements is 835 meV/atom. Its polymorph energy (0 for the lowest one) is 0.000 eV/atom.

It has space group Pm-3m (No. 221), with a = 4.763 Å, b = 4.763 Å, c = 4.763 Å, α = 90.00°, β = 90.00° and γ = 90.00°. The asymmetric unit holds Ta at (0.000, 0.000, 0.500), Sn at (0.500, 0.500, 0.500) and As at (0.000, 0.000, 0.000).



Record 12
The following is a PBE-GGA calculation of a geometry-optimized TaSn3As structure, from Alexandria via LeMat-Bulk.

The value obtained for the size of the total moment is 0.0 μB/cell. The value obtained for the formation energy from the elements is 1275 meV/atom. Its polymorph energy (0 for the lowest one) is 0.539 eV/atom.

It has space group Pm-3m (No. 221), with a = 5.205 Å, b = 5.205 Å, c = 5.205 Å, α = 90.00°, β = 90.00° and γ = 90.00°. The asymmetric unit holds Ta at (0.000, 0.000, 0.000), Sn at (0.000, 0.500, 0.500) and As at (0.500, 0.500, 0.500).



Record 13
The following is a PBE-GGA calculation of a geometry-optimized TaSnAs2 structure, from Alexandria via LeMat-Bulk.

The value obtained for the size of the total moment is 3.3 μB/cell. The value obtained for the formation energy from the elements is 237 meV/atom.

It has space group I-42d (No. 122), with a = 6.190 Å, b = 6.190 Å, c = 12.196 Å, α = 90.00°, β = 90.00° and γ = 90.00°. The asymmetric unit holds Ta at (0.000, 0.000, 0.000), Sn at (0.000, 0.000, 0.500) and As at (0.202, 0.250, 0.125).



Record 14
The following is a PBE-GGA calculation of a geometry-optimized TaSn3As structure, from Alexandria via LeMat-Bulk.

The value obtained for the size of the total moment is 1.0 μB/cell. The value obtained for the formation energy from the elements is 736 meV/atom. Its polymorph energy (0 for the lowest one) is 0.000 eV/atom.

It has space group Pm-3m (No. 221), with a = 5.388 Å, b = 5.388 Å, c = 5.388 Å, α = 90.00°, β = 90.00° and γ = 90.00°. The asymmetric unit holds Ta at (0.000, 0.000, 0.000), Sn at (0.000, 0.000, 0.500) and As at (0.500, 0.500, 0.500).



Record 15
The following is a PBE-GGA calculation of a geometry-optimized Ta2SnAs structure, from Alexandria via LeMat-Bulk.

The value obtained for the size of the total moment is 0.0 μB/cell. The value obtained for the formation energy from the elements is 370 meV/atom. Its polymorph energy (0 for the lowest one) is 0.230 eV/atom.

It has space group I-42d (No. 122), with a = 4.072 Å, b = 4.072 Å, c = 19.661 Å, α = 90.00°, β = 90.00° and γ = 90.00°. The asymmetric unit holds Ta at (0.247, 0.250, 0.125), Sn at (0.000, 0.000, 0.500) and As at (0.000, 0.000, 0.000).



Record 16
The following is a PBE-GGA calculation of a geometry-optimized Ta2SnAs structure, from Alexandria via LeMat-Bulk.

The value obtained for the size of the total moment is 0.0 μB/cell. The value obtained for the formation energy from the elements is 140 meV/atom. Its polymorph energy (0 for the lowest one) is 0.000 eV/atom.

It has space group Fm-3m (No. 225), with a = 6.649 Å, b = 6.649 Å, c = 6.649 Å, α = 90.00°, β = 90.00° and γ = 90.00°. The asymmetric unit holds Ta at (0.250, 0.250, 0.250), Sn at (0.000, 0.000, 0.000) and As at (0.000, 0.000, 0.500).



Record 17
The following is a PBE-GGA calculation of a geometry-optimized TaSnAs2 structure, from Alexandria via LeMat-Bulk.

The value obtained for the size of the total moment is 0.0 μB/cell. The value obtained for the formation energy from the elements is -135 meV/atom.

It has space group R3m (No. 160, hexagonal axes), with a = 3.5395 Å, b = 3.5395 Å, c = 23.6449 Å, α = 90.00°, β = 90.00° and γ = 120.00°. The asymmetric unit holds Ta at (0.0000, 0.0000, 0.0000), Sn at (0.0000, 0.0000, 0.8373), As at (0.0000, 0.0000, 0.4036) and As at (0.0000, 0.0000, 0.5956).



Record 18
The following is a PBE-GGA calculation of a geometry-optimized TaSn2TeAs structure, from Alexandria via LeMat-Bulk.

For the uncorrected formation energy, the calculation gives 1263 meV/atom. The value obtained for the size of the total moment is 0.0 μB/cell.

It has space group P4/mmm (No. 123), with a = 5.194 Å, b = 5.194 Å, c = 5.289 Å, α = 90.00°, β = 90.00° and γ = 90.00°. The asymmetric unit holds Ta at (0.000, 0.000, 0.000), Sn at (0.000, 0.500, 0.500), Te at (0.500, 0.500, 0.000) and As at (0.500, 0.500, 0.500).



Record 19
The following is a PBE-GGA calculation of a geometry-optimized YTaSnAs2 structure, from Alexandria via LeMat-Bulk.

The value obtained for the size of the total moment is 0.8 μB/cell. The value obtained for the formation energy from the elements is 1162 meV/atom.

It has space group P4/mmm (No. 123), with a = 5.263 Å, b = 5.263 Å, c = 5.411 Å, α = 90.00°, β = 90.00° and γ = 90.00°. The asymmetric unit holds Y at (0.000, 0.000, 0.000), Ta at (0.000, 0.000, 0.500), Sn at (0.500, 0.500, 0.500) and As at (0.000, 0.500, 0.000).



Record 20
The following is a PBE-GGA calculation of a geometry-optimized Y2TaSnAs structure, from Alexandria via LeMat-Bulk.

The value obtained for the size of the total moment is 0.0 μB/cell. The value obtained for the formation energy from the elements is 532 meV/atom.

It has space group P4/mmm (No. 123), with a = 5.410 Å, b = 5.410 Å, c = 5.229 Å, α = 90.00°, β = 90.00° and γ = 90.00°. The asymmetric unit holds Y at (0.000, 0.500, 0.000), Ta at (0.000, 0.000, 0.000), Sn at (0.000, 0.000, 0.500) and As at (0.500, 0.500, 0.500).